Record 1
A relaxed structure of NaNdAg3S4. Source: OQMD, functional PBE-GGA.

Summary:
Its magnetic moment is 0.067 μB/atom. For the final energy, the calculation gives -4.047 eV per atom.

a b c (Å): 6.262 6.262 6.262
angles (deg): 90.00 90.00 90.00
Positions (direct):
S: 0.744 0.744 0.256
Ag: 0.500 0.500 0.000
Ag: 0.000 0.500 0.500
S: 0.256 0.256 0.256
S: 0.744 0.256 0.744
Na: 0.000 0.000 0.000
S: 0.256 0.744 0.744
Ag: 0.500 0.000 0.500
Nd: 0.500 0.500 0.500

---

Record 2
A relaxed structure of PmAuSeO. Source: OQMD, functional PBE-GGA.

Summary:
The calculation puts the offset from the most stable computed form at 0 meV/atom. Its magnetic moment is 0.000 μB/atom. For the final energy, the calculation gives -6.003 eV per atom.

a b c (Å): 5.762 5.750 9.583
angles (deg): 90.00 90.00 90.00
Positions (direct):
O: 0.250 0.750 0.000
Pm: 0.500 0.500 0.121
O: 0.750 0.250 0.000
Pm: 0.500 0.000 0.880
Au: 0.505 0.750 0.500
O: 0.750 0.750 0.000
O: 0.250 0.250 0.000
Se: 0.500 0.500 0.717
Au: 0.495 0.250 0.500
Se: 0.500 0.000 0.283
Se: 0.000 0.500 0.283
Pm: 0.000 0.000 0.121
Au: 0.005 0.750 0.500
Au: 0.995 0.250 0.500
Se: 0.000 0.000 0.717
Pm: 0.000 0.500 0.880

---

Record 3
A relaxed structure of TaSbSe4. Source: OQMD, functional PBE-GGA.

Summary:
The calculation puts the offset from the most stable computed form at 48 meV/atom. Its magnetic moment is 0.017 μB/atom. For the final energy, the calculation gives -5.335 eV per atom.

a b c (Å): 3.564 3.564 13.764
angles (deg): 90.00 90.00 120.00
Positions (direct):
Ta: 0.333 0.667 0.500
Se: 0.000 0.000 0.620
Se: 0.333 0.667 0.862
Se: 0.000 0.000 0.380
Sb: 0.000 0.000 0.000
Se: 0.333 0.667 0.138

---

Record 4
A relaxed structure of Sc2Si3Hg2. Source: OQMD, functional PBE-GGA.

Summary:
Its magnetic moment is 0.001 μB/atom. For the final energy, the calculation gives -4.263 eV per atom.

a b c (Å): 8.920 8.920 8.920
angles (deg): 28.43 28.43 28.43
Positions (direct):
Si: 0.342 0.342 0.342
Si: 0.864 0.864 0.864
Sc: 0.756 0.756 0.756
Hg: 0.045 0.045 0.045
Si: 0.639 0.639 0.639
Hg: 0.490 0.490 0.490
Sc: 0.239 0.239 0.239

---

Record 5
A relaxed structure of Al13Co16. Source: OQMD, functional PBE-GGA.

Summary:
The calculation puts the offset from the most stable computed form at 0 meV/atom. Its magnetic moment is 0.552 μB/atom. For the final energy, the calculation gives -5.842 eV per atom.

a b c (Å): 7.705 7.705 7.705
angles (deg): 109.47 109.47 109.47
Positions (direct):
Al: 0.589 0.589 0.286
Co: 0.182 0.809 0.809
Co: 0.000 0.373 0.191
Al: 0.411 0.697 0.000
Co: 0.373 0.000 0.191
Al: 0.000 0.411 0.697
Co: 0.818 0.627 0.627
Co: 0.809 0.809 0.182
Al: 0.589 0.286 0.589
Al: 0.286 0.589 0.589
Co: 0.652 0.000 0.000
Co: 0.373 0.191 0.000
Al: 0.411 0.000 0.697
Co: 0.000 0.652 0.000
Co: 0.191 0.000 0.373
Al: 0.000 0.000 0.000
Co: 0.000 0.000 0.652
Co: 0.000 0.191 0.373
Co: 0.809 0.182 0.809
Al: 0.714 0.303 0.303
Al: 0.697 0.411 0.000
Al: 0.000 0.697 0.411
Co: 0.627 0.627 0.818
Co: 0.191 0.373 0.000
Co: 0.627 0.818 0.627
Al: 0.303 0.303 0.714
Al: 0.697 0.000 0.411
Co: 0.348 0.348 0.348
Al: 0.303 0.714 0.303

---

Record 6
A relaxed structure of FeBi2Os. Source: OQMD, functional PBE-GGA.

Summary:
Its magnetic moment is 0.977 μB/atom. For the final energy, the calculation gives -5.813 eV per atom.

a b c (Å): 4.907 4.907 4.907
angles (deg): 60.00 60.00 60.00
Positions (direct):
Bi: 0.750 0.750 0.750
Os: 0.500 0.500 0.500
Bi: 0.000 0.000 0.000
Fe: 0.250 0.250 0.250

---

Record 7
A relaxed structure of ZrInTeAuSe2. Source: OQMD, functional PBE-GGA.

Summary:
Its magnetic moment is 0.000 μB/atom. For the final energy, the calculation gives -4.745 eV per atom.

a b c (Å): 7.724 7.724 10.776
angles (deg): 90.00 90.00 150.54
Positions (direct):
Zr: 0.500 0.500 0.000
Au: 0.044 0.956 0.750
In: 0.280 0.720 0.250
Se: 0.127 0.873 0.961
In: 0.720 0.280 0.750
Se: 0.873 0.127 0.039
Zr: 0.500 0.500 0.500
Te: 0.590 0.410 0.250
Te: 0.410 0.590 0.750
Se: 0.873 0.127 0.461
Au: 0.956 0.044 0.250
Se: 0.127 0.873 0.539

---

Record 8
A relaxed structure of Pr2Y2CI5. Source: OQMD, functional PBE-GGA.

Summary:
The calculation puts the offset from the most stable computed form at 0 meV/atom. Its magnetic moment is 0.032 μB/atom. For the final energy, the calculation gives -5.065 eV per atom.

a b c (Å): 9.942 9.942 8.909
angles (deg): 102.30 102.30 23.59
Positions (direct):
C: 0.500 0.500 0.000
Pr: 0.999 0.999 0.196
Y: 0.628 0.628 0.064
I: 0.171 0.171 0.837
Y: 0.372 0.372 0.936
I: 0.167 0.167 0.328
I: 0.829 0.829 0.163
I: 0.833 0.833 0.672
I: 0.500 0.500 0.500
Pr: 0.001 0.001 0.804

---

Record 9
A relaxed structure of LaGdSi4Ni2. Source: OQMD, functional PBE-GGA.

Summary:
Its magnetic moment is 0.001 μB/atom. For the final energy, the calculation gives -6.130 eV per atom.

a b c (Å): 4.054 8.490 8.490
angles (deg): 28.16 90.00 90.00
Positions (direct):
Si: 0.500 0.752 0.752
Ni: 0.500 0.182 0.182
Gd: 0.500 0.393 0.393
Si: 0.000 0.252 0.252
Si: 0.500 0.038 0.038
Si: 0.000 0.958 0.958
La: 0.000 0.606 0.606
Ni: 0.000 0.820 0.820

---

Record 10
A relaxed structure of LiTlSnPd. Source: OQMD, functional PBE-GGA.

Summary:
The calculation puts the offset from the most stable computed form at 0 meV/atom. For the final energy, the calculation gives -3.666 eV per atom.

a b c (Å): 4.801 4.801 4.801
angles (deg): 60.00 60.00 60.00
Positions (direct):
Sn: 0.000 0.000 0.000
Pd: 0.250 0.250 0.250
Tl: 0.500 0.500 0.500
Li: 0.750 0.750 0.750

---

Record 11
A relaxed structure of HfReSi. Source: OQMD, functional PBE-GGA.

Summary:
Its magnetic moment is 0.001 μB/atom. For the final energy, the calculation gives -9.544 eV per atom.

a b c (Å): 4.344 4.344 6.000
angles (deg): 90.00 90.00 120.00
Positions (direct):
Si: 0.667 0.333 0.750
Re: 0.667 0.333 0.250
Hf: 0.000 0.000 0.000
Si: 0.333 0.667 0.250
Re: 0.333 0.667 0.750
Hf: 0.000 0.000 0.500

---

Record 12
A relaxed structure of Zr6TlPb. Source: OQMD, functional PBE-GGA.

Summary:
Its magnetic moment is 0.089 μB/atom. For the final energy, the calculation gives -7.309 eV per atom.

a b c (Å): 5.663 5.663 5.663
angles (deg): 90.00 90.00 90.00
Positions (direct):
Zr: 0.500 0.000 0.749
Zr: 0.500 0.000 0.251
Zr: 0.251 0.500 0.000
Zr: 0.000 0.251 0.500
Tl: 0.500 0.500 0.500
Zr: 0.749 0.500 0.000
Zr: 0.000 0.749 0.500
Pb: 0.000 0.000 0.000

---

Record 13
A relaxed structure of AuC2. Source: OQMD, functional PBE-GGA.

Summary:
The calculation puts the offset from the most stable computed form at 1826 meV/atom. For the final energy, the calculation gives -3.953 eV per atom.

a b c (Å): 4.578 4.578 4.578
angles (deg): 60.00 60.00 60.00
Positions (direct):
C: 0.625 0.625 0.125
C: 0.625 0.625 0.625
Au: 0.250 0.250 0.250
C: 0.125 0.625 0.625
C: 0.625 0.125 0.625
Au: 0.000 0.000 0.000

---

Record 14
A relaxed structure of La2SmSi4Ni2Pd2. Source: OQMD, functional PBE-GGA.

Summary:
Its magnetic moment is 0.002 μB/atom. For the final energy, the calculation gives -6.129 eV per atom.

a b c (Å): 12.596 12.596 12.596
angles (deg): 161.29 160.86 26.89
Positions (direct):
La: 0.652 0.152 0.500
Pd: 0.900 0.400 0.500
Si: 0.452 0.452 0.000
Ni: 0.250 0.250 0.000
Si: 0.548 0.548 0.000
Si: 0.204 0.704 0.500
La: 0.348 0.848 0.500
Sm: 0.000 0.000 0.000
Pd: 0.100 0.600 0.500
Si: 0.796 0.296 0.500
Ni: 0.750 0.750 0.000

---

Record 15
A relaxed structure of NdPaAs. Source: OQMD, functional PBE-GGA.

Summary:
The calculation puts the offset from the most stable computed form at 0 meV/atom. Its magnetic moment is 0.145 μB/atom. For the final energy, the calculation gives -7.113 eV per atom.

a b c (Å): 4.193 4.193 8.587
angles (deg): 90.00 90.00 90.00
Positions (direct):
As: 0.500 0.000 0.730
Nd: 0.500 0.000 0.360
As: 0.000 0.500 0.270
Pa: 0.000 0.000 0.000
Nd: 0.000 0.500 0.640
Pa: 0.500 0.500 0.000

---

Record 16
A relaxed structure of SnIr2. Source: OQMD, functional PBE-GGA.

Summary:
Its magnetic moment is 0.005 μB/atom. For the final energy, the calculation gives -6.945 eV per atom.

a b c (Å): 5.344 5.344 5.344
angles (deg): 60.00 60.00 60.00
Positions (direct):
Sn: 0.250 0.250 0.250
Ir: 0.625 0.125 0.625
Sn: 0.000 0.000 0.000
Ir: 0.625 0.625 0.625
Ir: 0.625 0.625 0.125
Ir: 0.125 0.625 0.625

---

Record 17
A relaxed structure of KEr. Source: OQMD, functional PBE-GGA.

Summary:
Its magnetic moment is 0.013 μB/atom. For the final energy, the calculation gives -2.090 eV per atom.

a b c (Å): 3.453 4.884 6.987
angles (deg): 90.00 90.00 45.00
Positions (direct):
K: 0.000 0.500 0.500
Er: 0.000 0.000 0.000

---

Record 18
A relaxed structure of Hf3Al. Source: OQMD, functional PBE-GGA.

Summary:
Its magnetic moment is 0.001 μB/atom. For the final energy, the calculation gives -8.614 eV per atom.

a b c (Å): 5.456 5.456 5.456
angles (deg): 134.21 134.21 66.76
Positions (direct):
Hf: 0.750 0.250 0.500
Hf: 0.500 0.500 0.000
Hf: 0.250 0.750 0.500
Al: 0.000 0.000 0.000

---

Record 19
A relaxed structure of Dy3Mg3Cd2Ag. Source: OQMD, functional PBE-GGA.

Summary:
Its magnetic moment is 0.002 μB/atom. For the final energy, the calculation gives -2.822 eV per atom.

a b c (Å): 7.700 7.700 4.330
angles (deg): 90.00 90.00 120.00
Positions (direct):
Ag: 0.000 0.000 0.000
Cd: 0.667 0.333 0.500
Dy: 0.000 0.590 0.000
Mg: 0.240 0.000 0.500
Cd: 0.333 0.667 0.500
Mg: 0.760 0.760 0.500
Dy: 0.590 0.000 0.000
Dy: 0.410 0.410 0.000
Mg: 0.000 0.240 0.500

---

Record 20
A relaxed structure of Al13Re16. Source: OQMD, functional PBE-GGA.

Summary:
The calculation puts the offset from the most stable computed form at 0 meV/atom. Its magnetic moment is 0.001 μB/atom. For the final energy, the calculation gives -8.584 eV per atom.

a b c (Å): 8.287 8.287 8.287
angles (deg): 109.47 109.47 109.47
Positions (direct):
Al: 0.724 0.317 0.317
Re: 0.360 0.360 0.360
Re: 0.000 0.000 0.640
Re: 0.000 0.640 0.000
Re: 0.000 0.374 0.189
Re: 0.374 0.000 0.189
Re: 0.000 0.189 0.374
Re: 0.815 0.626 0.626
Al: 0.407 0.683 0.000
Al: 0.593 0.276 0.593
Re: 0.640 0.000 0.000
Re: 0.626 0.815 0.626
Al: 0.683 0.000 0.407
Al: 0.276 0.593 0.593
Re: 0.374 0.189 0.000
Al: 0.593 0.593 0.276
Al: 0.683 0.407 0.000
Re: 0.185 0.811 0.811
Al: 0.407 0.000 0.683
Re: 0.189 0.374 0.000
Re: 0.189 0.000 0.374
Al: 0.000 0.000 0.000
Re: 0.811 0.811 0.185
Re: 0.811 0.185 0.811
Re: 0.626 0.626 0.815
Al: 0.000 0.683 0.407
Al: 0.000 0.407 0.683
Al: 0.317 0.317 0.724
Al: 0.317 0.724 0.317